This record from Alexandria describes a crystal of Sc2OsBr relaxed with PBEsol. The functional is meta-GGA SCAN.

Geometry as POSCAR:
```
Sc2OsBr
1.0
4.780 0.000 0.000
0.000 4.780 0.000
0.000 0.000 3.138
Sc Os Br
2 1 1
Direct
0.000 0.500 0.000
0.500 0.000 0.000
0.000 0.000 0.500
0.500 0.500 0.500
```

## Properties
Space-group type: No. 123
E_form (uncorrected): -0.414 eV/atom
Crystal system: tetragonal



This record from Alexandria describes a crystal of RbTe2P relaxed with PBEsol. The functional is meta-GGA SCAN.

Geometry as POSCAR:
```
RbTe2P
1.0
4.038 0.000 0.000
-2.019 3.497 0.000
0.000 0.000 29.383
Rb Te P
3 6 3
Direct
0.000 0.000 0.000
0.333 0.667 0.667
0.667 0.333 0.333
0.000 0.000 0.115
0.000 0.000 0.885
0.333 0.667 0.552
0.333 0.667 0.782
0.667 0.333 0.218
0.667 0.333 0.448
0.000 0.000 0.500
0.333 0.667 0.167
0.667 0.333 0.833
```

## Properties
Space-group type: No. 166
E_form (uncorrected): 0.008 eV/atom
Crystal system: trigonal



This record from Alexandria describes a crystal of Y2HgSb relaxed with PBEsol. The functional is meta-GGA SCAN.

Geometry as POSCAR:
```
Y2HgSb
1.0
4.165 0.000 0.000
-2.083 3.607 0.000
0.000 0.000 22.387
Y Hg Sb
6 3 3
Direct
0.000 0.000 0.247
0.000 0.000 0.753
0.333 0.667 0.420
0.333 0.667 0.913
0.667 0.333 0.087
0.667 0.333 0.580
0.000 0.000 0.000
0.333 0.667 0.667
0.667 0.333 0.333
0.000 0.000 0.500
0.333 0.667 0.167
0.667 0.333 0.833
```

## Properties
Space-group type: No. 166
Distance to the lowest polymorph of the same formula: 0.076 eV/atom
E_form (uncorrected): -0.887 eV/atom
Crystal system: trigonal



This record from Alexandria describes a crystal of ZnCuAu relaxed with PBEsol. The functional is meta-GGA SCAN.

Geometry as POSCAR:
```
ZnCuAu
1.0
3.092 0.000 0.000
0.000 3.092 0.000
0.000 0.000 8.738
Zn Cu Au
2 2 2
Direct
0.000 0.000 0.000
0.500 0.500 0.500
0.000 0.000 0.356
0.500 0.500 0.856
0.000 0.000 0.678
0.500 0.500 0.178
```

## Properties
Space-group type: No. 107
Distance to the lowest polymorph of the same formula: 0.005 eV/atom
Crystal system: tetragonal



This record from Alexandria describes a crystal of P4WO12 relaxed with PBEsol. The functional is meta-GGA SCAN.

Geometry as POSCAR:
```
P4WO12
1.0
5.334 0.000 0.000
0.000 13.576 0.000
-1.325 0.000 7.247
P W O
8 2 24
Direct
0.022 0.000 0.064
0.025 0.225 0.077
0.118 0.810 0.588
0.214 0.456 0.624
0.786 0.956 0.376
0.882 0.310 0.412
0.975 0.725 0.923
0.978 0.500 0.936
0.497 0.862 0.990
0.503 0.362 0.010
0.033 0.979 0.275
0.036 0.238 0.291
0.043 0.613 0.964
0.074 0.403 0.441
0.157 0.762 0.418
0.188 0.783 0.033
0.196 0.446 0.053
0.281 0.984 0.013
0.288 0.242 0.030
0.346 0.852 0.725
0.350 0.545 0.589
0.364 0.374 0.745
0.636 0.874 0.255
0.650 0.045 0.411
0.654 0.352 0.275
0.712 0.742 0.970
0.719 0.484 0.987
0.804 0.946 0.947
0.812 0.283 0.967
0.843 0.262 0.582
0.926 0.903 0.559
0.957 0.113 0.036
0.964 0.738 0.709
0.967 0.479 0.725
```

## Properties
Space-group type: No. 4
Distance to the lowest polymorph of the same formula: 0.018 eV/atom
E_form (uncorrected): -2.173 eV/atom
Crystal system: monoclinic



This record from Alexandria describes a crystal of BaTaW2 relaxed with PBEsol. The functional is meta-GGA SCAN.

Geometry as POSCAR:
```
BaTaW2
1.0
3.134 0.000 0.000
0.000 4.900 0.000
0.000 0.000 4.955
Ba Ta W
1 1 2
Direct
0.000 0.000 0.000
0.500 0.500 0.000
0.000 0.500 0.500
0.500 0.000 0.500
```

## Properties
Space-group type: No. 47
Distance to the lowest polymorph of the same formula: 0.619 eV/atom
Crystal system: orthorhombic



This record from Alexandria describes a crystal of NbGaSnCl2 relaxed with PBEsol. The functional is meta-GGA SCAN.

Geometry as POSCAR:
```
NbGaSnCl2
1.0
4.591 0.000 0.000
0.000 4.591 0.000
0.000 0.000 5.667
Nb Ga Sn Cl
1 1 1 2
Direct
0.000 0.000 0.000
0.000 0.000 0.500
0.500 0.500 0.000
0.000 0.500 0.500
0.500 0.000 0.500
```

## Properties
Space-group type: No. 123
E_form (uncorrected): 0.383 eV/atom
Crystal system: tetragonal



This record from Alexandria describes a crystal of CuTcHgRu2 relaxed with PBEsol. The functional is meta-GGA SCAN.

Geometry as POSCAR:
```
CuTcHgRu2
1.0
4.430 0.000 0.000
0.000 4.430 0.000
0.000 0.000 4.399
Cu Tc Hg Ru
1 1 1 2
Direct
0.000 0.000 0.000
0.000 0.000 0.500
0.500 0.500 0.500
0.000 0.500 0.000
0.500 0.000 0.000
```

## Properties
Space-group type: No. 123
Uncorrected energy: -36.011 eV per atom
Crystal system: tetragonal



This record from Alexandria describes a crystal of Na3ZrHg relaxed with PBEsol. The functional is meta-GGA SCAN.

Geometry as POSCAR:
```
Na3ZrHg
1.0
6.150 0.000 0.000
0.000 6.150 0.000
0.000 0.000 6.150
Na Zr Hg
3 1 1
Direct
0.000 0.000 0.500
0.000 0.500 0.000
0.500 0.000 0.000
0.000 0.000 0.000
0.500 0.500 0.500
```

## Properties
Space-group type: No. 221
Uncorrected energy: -21.196 eV per atom
Crystal system: cubic



This record from Alexandria describes a crystal of Co2MoHIr relaxed with PBEsol. The functional is meta-GGA SCAN.

Geometry as POSCAR:
```
Co2MoHIr
1.0
4.558 0.000 0.000
0.000 4.558 0.000
0.000 0.000 3.061
Co Mo H Ir
2 1 1 1
Direct
0.000 0.500 0.000
0.500 0.000 0.000
0.000 0.000 0.500
0.500 0.500 0.500
0.500 0.500 0.000
```

## Properties
Space-group type: No. 123
Uncorrected energy: -27.800 eV per atom
Crystal system: tetragonal



This record from Alexandria describes a crystal of Ca3Pr2Sb3O14 relaxed with PBEsol. The functional is meta-GGA SCAN.

Geometry as POSCAR:
```
Ca3Pr2Sb3O14
1.0
6.442 -3.771 0.000
6.442 3.771 0.000
-4.210 0.000 6.117
Ca Pr Sb O
3 2 3 14
Direct
0.000 0.000 0.000
0.000 0.000 0.500
0.500 0.500 0.000
0.000 0.500 0.500
0.500 0.000 0.500
0.000 0.500 0.000
0.500 0.000 0.000
0.500 0.500 0.500
0.122 0.122 0.378
0.129 0.599 0.907
0.183 0.586 0.319
0.188 0.188 0.906
0.401 0.871 0.093
0.405 0.405 0.633
0.414 0.817 0.681
0.586 0.183 0.319
0.595 0.595 0.367
0.599 0.129 0.907
0.812 0.812 0.094
0.817 0.414 0.681
0.871 0.401 0.093
0.878 0.878 0.622
```

## Properties
Space-group type: No. 12
E_form (uncorrected): -2.588 eV/atom
Crystal system: monoclinic



This record from Alexandria describes a crystal of Sr2LaAu relaxed with PBEsol. The functional is meta-GGA SCAN.

Geometry as POSCAR:
```
Sr2LaAu
1.0
4.067 0.000 0.000
0.000 4.163 0.000
0.000 0.000 18.671
Sr La Au
4 2 2
Direct
0.000 0.000 0.000
0.000 0.500 0.500
0.500 0.000 0.328
0.500 0.500 0.828
0.000 0.000 0.679
0.000 0.500 0.179
0.500 0.000 0.133
0.500 0.500 0.633
```

## Properties
Space-group type: No. 38
Distance to the lowest polymorph of the same formula: 0.003 eV/atom
Crystal system: orthorhombic